Compound: Sr2Mo2Se
Source: Alexandria via LeMat-Bulk
Functional: GGA-PBEsol
Structure: optimized geometry

Cell lengths 3.603, 3.603, 9.892 Å; angles 100.49, 100.49, 90.00 degrees
Element x y z (fractional)
Sr 0.404 0.404 0.808
Sr 0.596 0.596 0.192
Mo 0.250 0.750 0.500
Mo 0.750 0.250 0.500
Se 0.000 0.000 0.000

Summary:
As for the symmetry: I4/mmm, No. 139. For the uncorrected formation energy, the calculation gives -0.752 eV/f.u.

---

Compound: LiAgP2Cl
Source: Alexandria via LeMat-Bulk
Functional: GGA-PBEsol
Structure: optimized geometry

Cell lengths 4.632, 4.632, 5.803 Å; angles 90.00, 90.00, 90.00 degrees
Each line ends with the local moment (μB).
Element x y z (fractional)
P 0.000 0.500 0.000  0.32
P 0.500 0.000 0.000  0.32
Li 0.500 0.500 0.500  0.00
Ag 0.000 0.000 0.000  0.10
Cl 0.000 0.000 0.500  0.10

Summary:
As for the symmetry: P4/mmm, No. 123. For the uncorrected formation energy, the calculation gives 2.278 eV/f.u.

---

Compound: BaReTe2
Source: Alexandria via LeMat-Bulk
Functional: GGA-PBEsol
Structure: optimized geometry

Cell lengths 4.451, 4.744, 6.629 Å; angles 90.00, 109.62, 90.00 degrees
Element x y z (fractional)
Re 0.810 0.500 0.621
Te 0.888 0.000 0.776
Te 0.202 0.500 0.404
Ba 0.601 0.000 0.201

Summary:
As for the symmetry: Amm2, No. 38. For the uncorrected formation energy, the calculation gives -0.627 eV/f.u.

---

Compound: Sr2ZnTe2
Source: Alexandria via LeMat-Bulk
Functional: GGA-PBEsol
Structure: optimized geometry

Cell lengths 4.198, 8.771, 8.771 Å; angles 90.00, 90.00, 90.00 degrees
Element x y z (fractional)
Sr 0.500 0.153 0.653
Sr 0.500 0.653 0.847
Sr 0.500 0.847 0.347
Sr 0.500 0.347 0.153
Zn 0.000 0.000 0.000
Zn 0.000 0.500 0.500
Te 0.000 0.348 0.848
Te 0.000 0.848 0.652
Te 0.000 0.652 0.152
Te 0.000 0.152 0.348

Summary:
As for the symmetry: P4/mbm, No. 127. For the uncorrected formation energy, the calculation gives -5.068 eV/f.u.

---

Compound: TmZnSn
Source: Alexandria via LeMat-Bulk
Functional: GGA-PBEsol
Structure: optimized geometry

Cell lengths 4.568, 4.568, 6.931 Å; angles 90.00, 90.00, 120.00 degrees
Element x y z (fractional)
Zn 0.333 0.667 0.750
Zn 0.667 0.333 0.250
Tm 0.000 0.000 0.500
Tm 0.000 0.000 0.000
Sn 0.333 0.667 0.250
Sn 0.667 0.333 0.750

Summary:
As for the symmetry: P6_3/mmc, No. 194. Its formation energy is -0.53 eV/atom.

---

Compound: ScCr2Te
Source: Alexandria via LeMat-Bulk
Functional: GGA-PBEsol
Structure: optimized geometry

Cell lengths 3.090, 4.960, 5.361 Å; angles 116.55, 105.26, 93.11 degrees
Each line ends with the local moment (μB).
Element x y z (fractional)
Cr 0.000 0.000 0.500  2.36
Cr 0.500 0.500 0.500  2.36
Sc 0.500 0.000 0.000  -0.15
Te 0.000 0.500 0.000  -0.02

Summary:
As for the symmetry: C2/m, No. 12. For the uncorrected formation energy, the calculation gives 1.907 eV/f.u.

---

Compound: NiRh3
Source: Alexandria via LeMat-Bulk
Functional: GGA-PBEsol
Structure: optimized geometry

Cell lengths 2.653, 4.523, 4.541 Å; angles 100.10, 106.98, 90.00 degrees
Each line ends with the local moment (μB).
Element x y z (fractional)
Ni 0.000 0.000 0.000  0.16
Rh 0.748 0.246 0.495  0.03
Rh 0.500 0.500 0.000  0.04
Rh 0.252 0.754 0.505  0.03

Summary:
As for the symmetry: C2/m, No. 12. Its formation energy is 0.04 eV/atom.

---

Compound: Li3MgTi8O16
Source: Alexandria via LeMat-Bulk
Functional: GGA-PBEsol
Structure: optimized geometry

Cell lengths 5.907, 5.907, 10.334 Å; angles 73.39, 73.39, 60.00 degrees
Element x y z (fractional)
Li 0.812 0.812 0.565
Li 0.691 0.691 0.927
Li 0.186 0.186 0.441
Mg 0.001 0.001 0.996
Ti 0.758 0.247 0.749
Ti 0.499 0.499 0.503
Ti 0.247 0.758 0.749
Ti 0.247 0.247 0.749
Ti 0.312 0.312 0.064
Ti 0.255 0.744 0.256
Ti 0.744 0.744 0.256
Ti 0.744 0.255 0.256
O 0.606 0.606 0.631
O 0.606 0.157 0.631
O 0.157 0.606 0.631
O 0.377 0.377 0.868
O 0.120 0.120 0.640
O 0.352 0.893 0.862
O 0.893 0.893 0.862
O 0.893 0.352 0.862
O 0.118 0.118 0.130
O 0.118 0.635 0.130
O 0.635 0.118 0.130
O 0.882 0.882 0.354
O 0.619 0.619 0.144
O 0.848 0.391 0.371
O 0.391 0.848 0.371
O 0.391 0.391 0.371

Summary:
As for the symmetry: R3m, No. 160. For the uncorrected formation energy, the calculation gives -79.751 eV/f.u.